[1]
ThCo3B4O12: optimized geometry, PBE+U.

The energy is -7.51 eV per atom.

The structure belongs to space group R32 (No. 155, hexagonal axes); the cell edges are 9.6507, 9.6507 and 7.7378 Å and the angles 90.00°, 90.00° and 120.00°. The asymmetric unit holds Th at (0.0000, 0.0000, 0.0000), Co at (0.0000, 0.5533, 0.0000), B at (0.0000, 0.0000, 0.5000), B at (0.0000, 0.4470, 0.5000), O at (0.0000, 0.5895, 0.5000), O at (0.0000, 0.8561, 0.5000) and O at (0.0258, 0.2126, 0.1799).



[2]
UCoB2O8: optimized geometry, PBE+U.

The energy is -7.55 eV per atom.

The structure belongs to space group P-3m1 (No. 164); the cell edges are 5.1537, 5.1537 and 5.9680 Å and the angles 90.00°, 90.00° and 120.00°. The asymmetric unit holds U at (0.0000, 0.0000, 0.0000), Co at (0.0000, 0.0000, 0.5000), B at (0.3333, 0.6667, 0.6886), O at (0.1754, 0.3509, 0.7694) and O at (0.3333, 0.6667, 0.4509).



Q: Which value of energy does entry 2 give?
A: -7.55 eV per atom